Computed, not measured: an optimized crystal structure of Ce2Mg3Cd4 at the PBE level of DFT.

a b c (Å): 9.129 9.129 8.488
angles (deg): 90.00 90.00 140.44
Element x y z (fractional)
1 Ce 0.096 0.904 0.893
2 Ce 0.404 0.596 0.393
3 Ce 0.596 0.404 0.607
4 Ce 0.904 0.096 0.107
5 Mg 0.000 0.000 0.500
6 Mg 0.013 0.487 0.750
7 Mg 0.487 0.013 0.250
8 Mg 0.500 0.500 0.000
9 Mg 0.513 0.987 0.750
10 Mg 0.987 0.513 0.250
11 Cd 0.172 0.828 0.518
12 Cd 0.182 0.318 0.750
13 Cd 0.318 0.182 0.250
14 Cd 0.328 0.672 0.018
15 Cd 0.672 0.328 0.982
16 Cd 0.682 0.818 0.750
17 Cd 0.818 0.682 0.250
18 Cd 0.828 0.172 0.482

Properties
The formation energy from the elements comes out at -0.1177 eV/atom. The calculation puts the energy above the most stable polymorph in this dataset at 38 meV/atom. For the total DFT energy (no corrections), the calculation gives -2.3746 eV per atom. The symmetry is Cmce, No. 64.